1.
DFT (PBE-GGA) results for Sc2CuRu after structural relaxation.

CIF file:
```
data_Sc2CuRu
_space_group_name_H-M_alt 'I m m 2'
_space_group_IT_number 44
_cell_length_a 3.275
_cell_length_b 4.430
_cell_length_c 9.525
_cell_angle_alpha 90.00
_cell_angle_beta 90.00
_cell_angle_gamma 90.00
loop_
_space_group_symop_operation_xyz
'x,y,z'
'-x,-y,z'
'-x,y,z'
'x,-y,z'
'x+1/2,y+1/2,z+1/2'
'-x+1/2,-y+1/2,z+1/2'
'-x+1/2,y+1/2,z+1/2'
'x+1/2,-y+1/2,z+1/2'
loop_
_atom_site_label
_atom_site_fract_x
_atom_site_fract_y
_atom_site_fract_z
Sc1 0.000 0.000 0.000
Sc2 0.000 0.500 0.218
Cu1 0.000 0.500 0.761
Ru1 0.000 0.000 0.483
```

- E_tot (eV per cell) = -54.3

***

2.
DFT (PBE-GGA) results for Sc2CuRu3 after structural relaxation.

CIF file:
```
data_Sc2CuRu3
_space_group_name_H-M_alt 'R -3 m'
_space_group_IT_number 166
_space_group_name_Hall '-R 3 2"'
_cell_length_a 5.1712
_cell_length_b 5.1712
_cell_length_c 12.5477
_cell_angle_alpha 90.00
_cell_angle_beta 90.00
_cell_angle_gamma 120.00
loop_
_atom_site_label
_atom_site_fract_x
_atom_site_fract_y
_atom_site_fract_z
Sc1 0.0000 0.0000 0.1225
Cu1 0.0000 0.0000 0.5000
Ru1 0.0000 0.5000 0.0000
```

- E_tot (eV per cell) = -139.5

***

3.
DFT (PBE-GGA) results for Sc2Cu2Ru after structural relaxation.

CIF file:
```
data_Sc2Cu2Ru
_space_group_name_H-M_alt 'I 4/m m m'
_space_group_IT_number 139
_space_group_name_Hall '-I 4 2'
_cell_length_a 3.299
_cell_length_b 3.299
_cell_length_c 15.721
_cell_angle_alpha 90.00
_cell_angle_beta 90.00
_cell_angle_gamma 90.00
loop_
_atom_site_label
_atom_site_fract_x
_atom_site_fract_y
_atom_site_fract_z
Sc1 0.000 0.000 0.098
Cu1 0.000 0.500 0.250
Ru1 0.000 0.000 0.500
```

- excess energy over the best structure of this formula in the dataset (eV/atom) = 0.000
- E_tot (eV per cell) = -62.4

***

4.
DFT (PBE-GGA) results for ScCuRu2 after structural relaxation.

CIF file:
```
data_ScCuRu2
_space_group_name_H-M_alt 'P 1 2/m 1'
_space_group_IT_number 10
_cell_length_a 4.461
_cell_length_b 2.941
_cell_length_c 4.694
_cell_angle_alpha 90.00
_cell_angle_beta 105.76
_cell_angle_gamma 90.00
loop_
_space_group_symop_operation_xyz
'x,y,z'
'-x,-y,-z'
'-x,y,-z'
'x,-y,z'
loop_
_atom_site_label
_atom_site_fract_x
_atom_site_fract_y
_atom_site_fract_z
Sc1 0.000 0.000 0.000
Cu1 0.000 0.500 0.500
Ru1 0.500 0.000 0.500
Ru2 0.500 0.500 0.000
```

- E_tot (eV per cell) = -29.3

***

5.
DFT (PBE-GGA) results for Sc2Cu2Ru after structural relaxation.

CIF file:
```
data_Sc2Cu2Ru
_space_group_name_H-M_alt 'I 4/m m m'
_space_group_IT_number 139
_space_group_name_Hall '-I 4 2'
_cell_length_a 4.924
_cell_length_b 4.924
_cell_length_c 7.287
_cell_angle_alpha 90.00
_cell_angle_beta 90.00
_cell_angle_gamma 90.00
loop_
_atom_site_label
_atom_site_fract_x
_atom_site_fract_y
_atom_site_fract_z
Sc1 0.000 0.500 0.250
Cu1 0.000 0.000 0.150
Ru1 0.000 0.000 0.500
```

- excess energy over the best structure of this formula in the dataset (eV/atom) = 0.273
- E_tot (eV per cell) = -59.7

***

6.
DFT (PBE-GGA) results for Sc6Cu2Ru after structural relaxation.

CIF file:
```
data_Sc6Cu2Ru
_space_group_name_H-M_alt 'I m m m'
_space_group_IT_number 71
_space_group_name_Hall '-I 2 2'
_cell_length_a 8.768
_cell_length_b 8.796
_cell_length_c 9.187
_cell_angle_alpha 90.00
_cell_angle_beta 90.00
_cell_angle_gamma 90.00
loop_
_atom_site_label
_atom_site_fract_x
_atom_site_fract_y
_atom_site_fract_z
Sc1 0.000 0.177 0.244
Sc2 0.172 0.500 0.279
Sc3 0.240 0.310 0.000
Cu1 0.000 0.357 0.500
Cu2 0.132 0.000 0.000
Ru1 0.000 0.000 0.500
Ru2 0.000 0.500 0.000
```

- E_tot (eV per cell) = -231.5

***

7.
DFT (PBE-GGA) results for Sc3CuRu after structural relaxation.

CIF file:
```
data_Sc3CuRu
_space_group_name_H-M_alt 'P m -3 m'
_space_group_IT_number 221
_space_group_name_Hall '-P 4 2 3'
_cell_length_a 4.779
_cell_length_b 4.779
_cell_length_c 4.779
_cell_angle_alpha 90.00
_cell_angle_beta 90.00
_cell_angle_gamma 90.00
loop_
_atom_site_label
_atom_site_fract_x
_atom_site_fract_y
_atom_site_fract_z
Sc1 0.000 0.000 0.500
Cu1 0.000 0.000 0.000
Ru1 0.500 0.500 0.500
```

- excess energy over the best structure of this formula in the dataset (eV/atom) = 0.350
- E_tot (eV per cell) = -30.0

***

8.
DFT (PBE-GGA) results for ScCuRu2 after structural relaxation.

CIF file:
```
data_ScCuRu2
_space_group_name_H-M_alt 'F m -3 m'
_space_group_IT_number 225
_space_group_name_Hall '-F 4 2 3'
_cell_length_a 6.187
_cell_length_b 6.187
_cell_length_c 6.187
_cell_angle_alpha 90.00
_cell_angle_beta 90.00
_cell_angle_gamma 90.00
loop_
_atom_site_label
_atom_site_fract_x
_atom_site_fract_y
_atom_site_fract_z
Sc1 0.000 0.000 0.000
Cu1 0.000 0.000 0.500
Ru1 0.250 0.250 0.250
```

- E_tot (eV per cell) = -115.5

***

9.
DFT (PBE-GGA) results for Sc4CuRu after structural relaxation.

CIF file:
```
data_Sc4CuRu
_space_group_name_H-M_alt 'R -3 m'
_space_group_IT_number 166
_space_group_name_Hall '-R 3 2"'
_cell_length_a 4.6342
_cell_length_b 4.6342
_cell_length_c 21.0521
_cell_angle_alpha 90.00
_cell_angle_beta 90.00
_cell_angle_gamma 120.00
loop_
_atom_site_label
_atom_site_fract_x
_atom_site_fract_y
_atom_site_fract_z
Sc1 0.0000 0.0000 0.1239
Sc2 0.0000 0.0000 0.3716
Cu1 0.0000 0.0000 0.5000
Ru1 0.0000 0.0000 0.0000
```

- excess energy over the best structure of this formula in the dataset (eV/atom) = 0.163
- E_tot (eV per cell) = -118.6

***

10.
DFT (PBE-GGA) results for ScCuRu2 after structural relaxation.

CIF file:
```
data_ScCuRu2
_space_group_name_H-M_alt 'I -4 m 2'
_space_group_IT_number 119
_space_group_name_Hall 'I -4 -2'
_cell_length_a 3.971
_cell_length_b 3.971
_cell_length_c 7.536
_cell_angle_alpha 90.00
_cell_angle_beta 90.00
_cell_angle_gamma 90.00
loop_
_atom_site_label
_atom_site_fract_x
_atom_site_fract_y
_atom_site_fract_z
Sc1 0.000 0.000 0.000
Cu1 0.000 0.500 0.750
Ru1 0.000 0.000 0.500
Ru2 0.000 0.500 0.250
```

- E_tot (eV per cell) = -58.5

***

11.
DFT (PBE-GGA) results for Sc5Cu4Ru after structural relaxation.

CIF file:
```
data_Sc5Cu4Ru
_space_group_name_H-M_alt 'P 4/m m m'
_space_group_IT_number 123
_space_group_name_Hall '-P 4 2'
_cell_length_a 3.244
_cell_length_b 3.244
_cell_length_c 16.300
_cell_angle_alpha 90.00
_cell_angle_beta 90.00
_cell_angle_gamma 90.00
loop_
_atom_site_label
_atom_site_fract_x
_atom_site_fract_y
_atom_site_fract_z
Sc1 0.000 0.000 0.000
Sc2 0.000 0.000 0.202
Sc3 0.000 0.000 0.404
Cu1 0.500 0.500 0.100
Cu2 0.500 0.500 0.302
Ru1 0.500 0.500 0.500
```

- E_tot (eV per cell) = -61.0

***

12.
DFT (PBE-GGA) results for Sc2CuRu2 after structural relaxation.

CIF file:
```
data_Sc2CuRu2
_space_group_name_H-M_alt 'P 4/m b m'
_space_group_IT_number 127
_space_group_name_Hall '-P 4 2ab'
_cell_length_a 6.552
_cell_length_b 6.552
_cell_length_c 3.992
_cell_angle_alpha 90.00
_cell_angle_beta 90.00
_cell_angle_gamma 90.00
loop_
_atom_site_label
_atom_site_fract_x
_atom_site_fract_y
_atom_site_fract_z
Sc1 0.176 0.324 0.000
Cu1 0.000 0.000 0.500
Ru1 0.135 0.635 0.500
```

- E_tot (eV per cell) = -73.4